Below is a relaxed BaCaEuPb crystal, with properties calculated at the GGA-PBE level.

Magnetic moment (Bohr magnetons per cell): 7.53
Energy of formation from the pure elements (kcal/mol of atoms): -5.730
DFT total energy (eV per formula unit): -18.901

a = 6.045 Å, b = 6.045 Å, c = 6.045 Å
α = 60.00°, β = 60.00°, γ = 60.00°
Fractional positions:
Pb1 0.250 0.250 0.250
Eu1 0.500 0.500 0.500
Ca1 0.750 0.750 0.750
Ba1 0.000 0.000 0.000